Entry 1:
A relaxed Ba2Ga3Sn4Au crystal, computed with PBE-GGA.

abc: 5.046 5.046 10.909
angles: 90.00 90.00 90.00
Space group P-4m2 (No. 115)
Asymmetric unit:
Ba (0.000, 0.500, 0.237) [2 per cell]
Ga (0.000, 0.000, 0.000) [1 per cell]
Ga (0.000, 0.500, 0.627) [2 per cell]
Sn (0.000, 0.000, 0.500) [1 per cell]
Sn (0.000, 0.500, 0.878) [2 per cell]
Sn (0.500, 0.500, 0.500) [1 per cell]
Au (0.500, 0.500, 0.000) [1 per cell]

Output
- ΔE_f (eV per atom) = -0.44
- volume (Å³ per atom) = 27.781

---

Entry 2:
A relaxed NpI2Br crystal, computed with PBE-GGA.

abc: 4.013 11.608 7.482
angles: 90.00 90.00 90.00
Space group Imm2 (No. 44)
Asymmetric unit:
Np (0.000, 0.000, 0.000) [2 per cell]
I (0.000, 0.328, 0.321) [4 per cell]
Br (0.000, 0.500, 0.779) [2 per cell]

Output
- uncorrected formation energy (eV per atom) = -0.97
- volume (Å³ per atom) = 43.563
- energy relative to the lowest polymorph listed for this composition (meV per atom) = 22

---

Entry 3:
A relaxed Li3PaN3 crystal, computed with PBE-GGA.

abc: 6.0731 6.0731 16.1643
angles: 90.00 90.00 120.00
Space group R-3 (No. 148, hexagonal axes)
Asymmetric unit:
Li (0.0320, 0.2914, 0.1256) [18 per cell]
Pa (0.0000, 0.0000, 0.3297) [6 per cell]
N (0.0021, 0.3956, 0.9198) [18 per cell]

Output
- uncorrected formation energy (eV per atom) = -0.83
- volume (Å³ per atom) = 12.293
- energy relative to the lowest polymorph listed for this composition (meV per atom) = 72

---

> Which of these has the highest volume?

NpI2Br

---

> Which formula does entry 2 have?

NpI2Br

---

> volume of number 2 (NpI2Br)?

43.563 Å³ per atom

---

> Which value of volume does entry 1 give?

27.781 Å³ per atom